Record 1
## InRe2Hg (PBE-GGA)

Data for an optimized crystal structure of InRe2Hg.

Output
mass density = 14.72 g/cm³
formation enthalpy at 0 K = 0.586 eV/atom
space-group type = Cmm2, No. 35

Cell lengths 2.921, 4.879, 10.892 Å; angles 90.00, 90.00, 90.00 degrees
Fractional coordinates of all 8 atoms:
In: 0.000 0.000 0.000
In: 0.500 0.500 0.000
Re: 0.000 0.000 0.563
Re: 0.000 0.500 0.757
Re: 0.500 0.000 0.757
Re: 0.500 0.500 0.563
Hg: 0.000 0.500 0.311
Hg: 0.500 0.000 0.311

***

Record 2
## TaAl4Fe5 (PBE-GGA)

Data for an optimized crystal structure of TaAl4Fe5.

Output
mass density = 7.61 g/cm³
formation enthalpy at 0 K = -0.327 eV/atom
space-group type = P4/mmm, No. 123

Cell lengths 2.941, 2.941, 14.320 Å; angles 90.00, 90.00, 90.00 degrees
Fractional coordinates of all 10 atoms:
Ta: 0.000 0.000 0.000
Al: 0.000 0.000 0.207
Al: 0.000 0.000 0.402
Al: 0.000 0.000 0.598
Al: 0.000 0.000 0.793
Fe: 0.500 0.500 0.104
Fe: 0.500 0.500 0.305
Fe: 0.500 0.500 0.500
Fe: 0.500 0.500 0.695
Fe: 0.500 0.500 0.896

***

Record 3
## Sr3Zn2Pd3 (PBE-GGA)

Data for an optimized crystal structure of Sr3Zn2Pd3.

Output
mass density = 6.10 g/cm³
formation enthalpy at 0 K = -0.575 eV/atom
space-group type = Cmcm, No. 63

Cell lengths 6.147, 6.147, 15.117 Å; angles 90.00, 90.00, 137.18 degrees
Fractional coordinates of all 16 atoms:
Sr: 0.084 0.916 0.608
Sr: 0.084 0.916 0.892
Sr: 0.367 0.633 0.750
Sr: 0.633 0.367 0.250
Sr: 0.916 0.084 0.108
Sr: 0.916 0.084 0.392
Zn: 0.215 0.785 0.089
Zn: 0.215 0.785 0.411
Zn: 0.785 0.215 0.589
Zn: 0.785 0.215 0.911
Pd: 0.323 0.677 0.250
Pd: 0.384 0.616 0.539
Pd: 0.384 0.616 0.961
Pd: 0.616 0.384 0.039
Pd: 0.616 0.384 0.461
Pd: 0.677 0.323 0.750

***

Record 4
## ZrV2CdC (PBE-GGA)

Data for an optimized crystal structure of ZrV2CdC.

Output
mass density = 4.85 g/cm³
formation enthalpy at 0 K = 1.770 eV/atom
space-group type = P4/mmm, No. 123

Cell lengths 5.082, 5.082, 4.209 Å; angles 90.00, 90.00, 90.00 degrees
Fractional coordinates of all 5 atoms:
Zr: 0.000 0.000 0.000
V: 0.000 0.500 0.000
V: 0.500 0.000 0.000
Cd: 0.500 0.500 0.500
C: 0.000 0.000 0.500

***

Record 5
## VSb2TeH (PBE-GGA)

Data for an optimized crystal structure of VSb2TeH.

Output
mass density = 5.37 g/cm³
total energy = -4.137 eV/atom
space-group type = P4/mmm, No. 123

Cell lengths 5.083, 5.083, 5.064 Å; angles 90.00, 90.00, 90.00 degrees
Fractional coordinates of all 5 atoms:
V: 0.000 0.000 0.000
Sb: 0.000 0.500 0.000
Sb: 0.500 0.000 0.000
Te: 0.000 0.000 0.500
H: 0.500 0.500 0.500

***

Record 6
## Mg3Al9FeSi5 (PBE-GGA)

Data for an optimized crystal structure of Mg3Al9FeSi5.

Output
mass density = 2.84 g/cm³
formation energy from raw total energies = -0.12 eV/atom
space-group type = P-62m, No. 189

Cell lengths 6.643, 6.643, 7.830 Å; angles 90.00, 90.00, 120.00 degrees
Fractional coordinates of all 18 atoms:
Mg: 0.000 0.416 0.000
Mg: 0.416 0.000 0.000
Mg: 0.584 0.584 0.000
Al: 0.000 0.376 0.500
Al: 0.000 0.751 0.276
Al: 0.000 0.751 0.724
Al: 0.249 0.249 0.276
Al: 0.249 0.249 0.724
Al: 0.376 0.000 0.500
Al: 0.624 0.624 0.500
Al: 0.751 0.000 0.276
Al: 0.751 0.000 0.724
Fe: 0.000 0.000 0.500
Si: 0.000 0.000 0.000
Si: 0.333 0.667 0.263
Si: 0.333 0.667 0.737
Si: 0.667 0.333 0.263
Si: 0.667 0.333 0.737

***

Record 7
## BaAl2Ag (PBE-GGA)

Data for an optimized crystal structure of BaAl2Ag.

Output
mass density = 4.73 g/cm³
formation enthalpy at 0 K = -0.016 eV/atom
space-group type = Pm, No. 6

Cell lengths 3.512, 4.366, 6.987 Å; angles 90.00, 101.47, 90.00 degrees
Fractional coordinates of all 4 atoms:
Ba: 0.000 0.000 0.000
Al: 0.334 0.000 0.499
Al: 0.386 0.500 0.721
Ag: 0.770 0.500 0.414

***

Record 8
## SrCd2Sb2 (PBE-GGA)

Data for an optimized crystal structure of SrCd2Sb2.

Output
mass density = 6.13 g/cm³
formation energy from raw total energies = -0.41 eV/atom
space-group type = I4/mmm, No. 139

Cell lengths 4.508, 4.508, 14.815 Å; angles 90.00, 90.00, 90.00 degrees
Fractional coordinates of all 10 atoms:
Sr: 0.000 0.000 0.000
Sr: 0.500 0.500 0.500
Cd: 0.000 0.500 0.250
Cd: 0.000 0.500 0.750
Cd: 0.500 0.000 0.250
Cd: 0.500 0.000 0.750
Sb: 0.000 0.000 0.383
Sb: 0.000 0.000 0.617
Sb: 0.500 0.500 0.117
Sb: 0.500 0.500 0.883

***

Record 9
## SiC3 (PBE-GGA)

Data for an optimized crystal structure of SiC3.

Output
mass density = 2.81 g/cm³
formation energy from raw total energies = 0.70 eV/atom
space-group type = C2/m, No. 12

Cell lengths 5.292, 3.058, 5.011 Å; angles 90.00, 110.85, 90.00 degrees
Fractional coordinates of all 8 atoms:
Si: 0.000 0.000 0.000
Si: 0.500 0.500 0.000
C: 0.000 0.500 0.500
C: 0.091 0.500 0.781
C: 0.409 0.000 0.219
C: 0.500 0.000 0.500
C: 0.591 0.000 0.781
C: 0.909 0.500 0.219

***

Record 10
## Cs3NbI6 (PBE-GGA)

Data for an optimized crystal structure of Cs3NbI6.

Output
mass density = 3.96 g/cm³
formation energy from raw total energies = -1.07 eV/atom
space-group type = P2_1/c, No. 14

Cell lengths 8.857, 9.274, 15.341 Å; angles 90.00, 123.49, 90.00 degrees
Fractional coordinates of all 20 atoms:
Cs: 0.000 0.000 0.000
Cs: 0.000 0.500 0.500
Cs: 0.285 0.080 0.759
Cs: 0.285 0.420 0.259
Cs: 0.715 0.580 0.741
Cs: 0.715 0.920 0.241
Nb: 0.500 0.000 0.500
Nb: 0.500 0.500 0.000
I: 0.189 0.020 0.288
I: 0.189 0.480 0.788
I: 0.287 0.665 0.054
I: 0.287 0.835 0.554
I: 0.395 0.235 0.052
I: 0.395 0.265 0.552
I: 0.605 0.735 0.448
I: 0.605 0.765 0.948
I: 0.713 0.165 0.446
I: 0.713 0.335 0.946
I: 0.811 0.520 0.212
I: 0.811 0.980 0.712

***

Record 11
## DyCo3PC (PBE-GGA)

Data for an optimized crystal structure of DyCo3PC.

Output
mass density = 8.20 g/cm³
formation enthalpy at 0 K = -0.426 eV/atom
space-group type = Cmcm, No. 63

Cell lengths 5.998, 5.998, 5.445 Å; angles 90.00, 90.00, 127.79 degrees
Fractional coordinates of all 12 atoms:
Dy: 0.248 0.752 0.750
Dy: 0.752 0.248 0.250
Co: 0.257 0.257 0.000
Co: 0.257 0.257 0.500
Co: 0.320 0.680 0.250
Co: 0.680 0.320 0.750
Co: 0.743 0.743 0.000
Co: 0.743 0.743 0.500
P: 0.121 0.879 0.250
P: 0.879 0.121 0.750
C: 0.487 0.513 0.250
C: 0.513 0.487 0.750

***

Record 12
## KZn3P2 (PBE-GGA)

Data for an optimized crystal structure of KZn3P2.

Output
mass density = 3.77 g/cm³
formation enthalpy at 0 K = -0.260 eV/atom
space-group type = P-1, No. 2

Cell lengths 4.010, 8.061, 9.100 Å; angles 105.24, 102.71, 104.15 degrees
Fractional coordinates of all 12 atoms:
K: 0.086 0.220 0.455
K: 0.914 0.780 0.545
Zn: 0.098 0.509 0.192
Zn: 0.319 0.036 0.107
Zn: 0.319 0.233 0.913
Zn: 0.681 0.767 0.087
Zn: 0.681 0.964 0.893
Zn: 0.902 0.491 0.808
P: 0.294 0.829 0.253
P: 0.465 0.637 0.792
P: 0.535 0.363 0.208
P: 0.706 0.171 0.747

***

Record 13
## LaPrAg2 (PBE-GGA)

Data for an optimized crystal structure of LaPrAg2.

Output
mass density = 7.48 g/cm³
formation enthalpy at 0 K = -0.252 eV/atom
space-group type = P4/mmm, No. 123

Cell lengths 3.802, 3.802, 7.610 Å; angles 90.00, 90.00, 90.00 degrees
Fractional coordinates of all 4 atoms:
La: 0.000 0.000 0.000
Pr: 0.000 0.000 0.500
Ag: 0.500 0.500 0.255
Ag: 0.500 0.500 0.745

***

Record 14
## MgAl4Pt2 (PBE-GGA)

Data for an optimized crystal structure of MgAl4Pt2.

Output
mass density = 7.28 g/cm³
formation enthalpy at 0 K = -0.736 eV/atom
space-group type = Pnma, No. 62

Cell lengths 16.244, 4.063, 7.218 Å; angles 90.00, 90.00, 90.00 degrees
Fractional coordinates of all 28 atoms:
Mg: 0.147 0.250 0.091
Mg: 0.353 0.750 0.591
Mg: 0.647 0.250 0.409
Mg: 0.853 0.750 0.909
Al: 0.031 0.750 0.882
Al: 0.067 0.250 0.495
Al: 0.189 0.750 0.396
Al: 0.189 0.750 0.794
Al: 0.311 0.250 0.294
Al: 0.311 0.250 0.896
Al: 0.433 0.750 0.995
Al: 0.469 0.250 0.382
Al: 0.531 0.750 0.618
Al: 0.567 0.250 0.005
Al: 0.689 0.750 0.104
Al: 0.689 0.750 0.706
Al: 0.811 0.250 0.206
Al: 0.811 0.250 0.604
Al: 0.933 0.750 0.505
Al: 0.969 0.250 0.118
Pt: 0.046 0.750 0.258
Pt: 0.224 0.250 0.597
Pt: 0.276 0.750 0.097
Pt: 0.454 0.250 0.758
Pt: 0.546 0.750 0.242
Pt: 0.724 0.250 0.903
Pt: 0.776 0.750 0.403
Pt: 0.954 0.250 0.742

***

Record 15
## Ce3Sm5Bi8 (PBE-GGA)

Data for an optimized crystal structure of Ce3Sm5Bi8.

Output
mass density = 8.72 g/cm³
formation enthalpy at 0 K = -0.879 eV/atom
space-group type = R-3m, No. 166

Cell lengths 9.147, 9.147, 9.147 Å; angles 60.02, 60.02, 60.02 degrees
Fractional coordinates of all 16 atoms:
Ce: 0.000 0.500 0.500
Ce: 0.500 0.000 0.500
Ce: 0.500 0.500 0.000
Sm: 0.000 0.000 0.000
Sm: 0.000 0.000 0.500
Sm: 0.000 0.500 0.000
Sm: 0.500 0.000 0.000
Sm: 0.500 0.500 0.500
Bi: 0.250 0.250 0.250
Bi: 0.250 0.250 0.750
Bi: 0.250 0.750 0.250
Bi: 0.250 0.750 0.750
Bi: 0.750 0.250 0.250
Bi: 0.750 0.250 0.750
Bi: 0.750 0.750 0.250
Bi: 0.750 0.750 0.750

***

Record 16
## SrAuBr2 (PBE-GGA)

Data for an optimized crystal structure of SrAuBr2.

Output
mass density = 4.64 g/cm³
formation energy from raw total energies = -0.94 eV/atom
space-group type = R-3m, No. 166

Cell lengths 4.446, 4.446, 27.860 Å; angles 90.00, 90.00, 120.00 degrees
Fractional coordinates of all 12 atoms:
Sr: 0.000 0.000 0.000
Sr: 0.333 0.667 0.667
Sr: 0.667 0.333 0.333
Au: 0.000 0.000 0.500
Au: 0.333 0.667 0.167
Au: 0.667 0.333 0.833
Br: 0.000 0.000 0.393
Br: 0.000 0.000 0.607
Br: 0.333 0.667 0.060
Br: 0.333 0.667 0.274
Br: 0.667 0.333 0.726
Br: 0.667 0.333 0.940

***

Record 17
## Cr2CdNi (PBE-GGA)

Data for an optimized crystal structure of Cr2CdNi.

Output
mass density = 8.47 g/cm³
formation enthalpy at 0 K = 0.543 eV/atom
space-group type = Cmmm, No. 65

Cell lengths 5.006, 8.427, 2.556 Å; angles 90.00, 90.00, 90.00 degrees
Fractional coordinates of all 8 atoms:
Cr: 0.250 0.250 0.000
Cr: 0.250 0.750 0.000
Cr: 0.750 0.250 0.000
Cr: 0.750 0.750 0.000
Cd: 0.000 0.000 0.500
Cd: 0.500 0.500 0.500
Ni: 0.000 0.500 0.500
Ni: 0.500 0.000 0.500

***

Record 18
## MgMnTl (PBE-GGA)

Data for an optimized crystal structure of MgMnTl.

Output
mass density = 7.59 g/cm³
formation enthalpy at 0 K = 0.322 eV/atom
space-group type = P3m1, No. 156

Cell lengths 4.718, 4.718, 3.220 Å; angles 90.00, 90.00, 120.00 degrees
Fractional coordinates of all 3 atoms:
Mg: 0.000 0.000 0.000
Mn: 0.667 0.333 0.425
Tl: 0.333 0.667 0.635

***

Record 19
## VFeW (PBE-GGA)

Data for an optimized crystal structure of VFeW.

Output
mass density = 11.71 g/cm³
formation enthalpy at 0 K = -0.062 eV/atom
space-group type = P4/nmm, No. 129

Cell lengths 3.049, 3.049, 8.864 Å; angles 90.00, 90.00, 90.00 degrees
Fractional coordinates of all 6 atoms:
V: 0.250 0.250 0.230
V: 0.750 0.750 0.770
Fe: 0.250 0.250 0.922
Fe: 0.750 0.750 0.078
W: 0.250 0.250 0.592
W: 0.750 0.750 0.408

***

Record 20
## CdAsSeBr2 (PBE-GGA)

Data for an optimized crystal structure of CdAsSeBr2.

Output
mass density = 4.46 g/cm³
formation energy from raw total energies = 0.46 eV/atom
space-group type = P4/mmm, No. 123

Cell lengths 5.285, 5.285, 5.674 Å; angles 90.00, 90.00, 90.00 degrees
Fractional coordinates of all 5 atoms:
Cd: 0.000 0.000 0.000
As: 0.000 0.000 0.500
Se: 0.500 0.500 0.500
Br: 0.000 0.500 0.000
Br: 0.500 0.000 0.000